Entry 1:
The following is a DFT calculation (PBE) of crystalline BaSrTlAu at its relaxed geometry.

Summary:
For the total energy, the calculation gives -10.452 eV/cell.

Cell: 5.492 5.492 5.492 Å, 60.00 60.00 60.00°
Fractional positions:
Au1 0.750 0.750 0.750
Ba1 0.000 0.000 0.000
Sr1 0.250 0.250 0.250
Tl1 0.500 0.500 0.500

=====

Entry 2:
The following is a DFT calculation (PBE) of crystalline NaZnMo2 at its relaxed geometry.

Summary:
For the total energy, the calculation gives -21.347 eV/cell.

Cell: 4.517 4.517 4.517 Å, 60.00 60.00 60.00°
Last column: magnetic moment on the atom in μB.
Fractional positions:
Mo1 0.000 0.000 0.000  -0.02
Mo2 0.750 0.750 0.750  0.06
Na1 0.250 0.250 0.250  0.00
Zn1 0.500 0.500 0.500  0.00

=====

Entry 3:
The following is a DFT calculation (PBE) of crystalline Ba2TbNbO6 at its relaxed geometry.

Summary:
For the total energy, the calculation gives -78.561 eV/cell.

Cell: 6.011 6.011 6.011 Å, 60.00 60.00 60.00°
Fractional positions:
Ba1 0.250 0.250 0.250
Ba2 0.750 0.750 0.750
Nb1 0.000 0.000 0.000
O1 0.237 0.763 0.237
O2 0.763 0.763 0.237
O3 0.763 0.237 0.237
O4 0.763 0.237 0.763
O5 0.237 0.763 0.763
O6 0.237 0.237 0.763
Tb1 0.500 0.500 0.500

=====

Entry 4:
The following is a DFT calculation (PBE) of crystalline Y2ReTe6 at its relaxed geometry.

Summary:
For the total energy, the calculation gives -49.274 eV/cell.

Cell: 8.380 8.380 3.963 Å, 90.00 90.00 120.00°
Fractional positions:
Re1 0.000 0.000 0.000
Te1 0.567 0.000 0.000
Te2 0.433 0.433 0.000
Te3 0.000 0.567 0.000
Te4 0.230 0.000 0.500
Te5 0.000 0.230 0.500
Te6 0.770 0.770 0.500
Y1 0.667 0.333 0.500
Y2 0.333 0.667 0.500

=====

Entry 5:
The following is a DFT calculation (PBE) of crystalline MgFeAgAs at its relaxed geometry.

Summary:
For the total energy, the calculation gives -16.835 eV/cell.

Cell: 4.514 4.514 4.514 Å, 60.00 60.00 60.00°
Fractional positions:
Ag1 0.500 0.500 0.500
As1 0.000 0.000 0.000
Fe1 0.750 0.750 0.750
Mg1 0.250 0.250 0.250

=====

Entry 6:
The following is a DFT calculation (PBE) of crystalline BaTePtO at its relaxed geometry.

Summary:
For the total energy, the calculation gives -40.450 eV/cell.

Cell: 4.042 4.042 12.893 Å, 90.00 90.00 90.00°
Fractional positions:
Ba1 0.250 0.250 0.390
Ba2 0.750 0.750 0.610
O1 0.750 0.250 0.500
O2 0.250 0.750 0.500
Pt1 0.750 0.750 0.102
Pt2 0.250 0.250 0.898
Te1 0.250 0.250 0.103
Te2 0.750 0.750 0.897

=====

Entry 7:
The following is a DFT calculation (PBE) of crystalline TaGe3Pt2 at its relaxed geometry.

Summary:
For the total energy, the calculation gives -35.570 eV/cell.

Cell: 5.444 5.444 4.122 Å, 90.00 90.00 120.10°
Last column: magnetic moment on the atom in μB.
Fractional positions:
Ge1 0.500 0.000 0.500  0.00
Ge2 0.000 0.500 0.500  -0.01
Ge3 0.500 0.500 0.500  0.00
Pt1 0.667 0.333 0.000  0.00
Pt2 0.333 0.667 0.000  0.00
Ta1 0.000 0.000 0.000  0.78

=====

Entry 8:
The following is a DFT calculation (PBE) of crystalline Ho2Ga2Pt at its relaxed geometry.

Summary:
For the total energy, the calculation gives -49.468 eV/cell.

Cell: 6.638 9.105 3.624 Å, 90.00 90.00 90.00°
Fractional positions:
Ga1 0.640 0.101 0.000
Ga2 0.140 0.399 0.000
Ga3 0.860 0.601 0.000
Ga4 0.360 0.899 0.000
Ho1 0.270 0.155 0.500
Ho2 0.770 0.345 0.500
Ho3 0.230 0.655 0.500
Ho4 0.730 0.845 0.500
Pt1 0.000 0.000 0.000
Pt2 0.500 0.500 0.000

=====

Entry 9:
The following is a DFT calculation (PBE) of crystalline LuMoPb2 at its relaxed geometry.

Summary:
For the total energy, the calculation gives -20.612 eV/cell.

Cell: 5.182 5.182 5.182 Å, 60.00 60.00 60.00°
Last column: magnetic moment on the atom in μB.
Fractional positions:
Lu1 0.250 0.250 0.250  0.17
Mo1 0.500 0.500 0.500  1.81
Pb1 0.000 0.000 0.000  -0.04
Pb2 0.750 0.750 0.750  -0.04

=====

Entry 10:
The following is a DFT calculation (PBE) of crystalline HfBeFeAs at its relaxed geometry.

Summary:
For the total energy, the calculation gives -26.494 eV/cell.

Cell: 4.297 4.297 4.297 Å, 60.00 60.00 60.00°
Fractional positions:
As1 0.000 0.000 0.000
Be1 0.500 0.500 0.500
Fe1 0.750 0.750 0.750
Hf1 0.250 0.250 0.250

=====

Entry 11:
The following is a DFT calculation (PBE) of crystalline AcAsW at its relaxed geometry.

Summary:
For the total energy, the calculation gives -17.428 eV/cell.

Cell: 5.166 5.166 5.166 Å, 60.00 60.00 60.00°
Fractional positions:
Ac1 0.000 0.000 0.000
As1 0.250 0.250 0.250
W1 0.750 0.750 0.750

=====

Entry 12:
The following is a DFT calculation (PBE) of crystalline Li2ErCuAs2 at its relaxed geometry.

Summary:
For the total energy, the calculation gives -25.870 eV/cell.

Cell: 4.184 4.184 6.537 Å, 90.00 90.00 120.00°
Fractional positions:
As1 0.667 0.333 0.252
As2 0.333 0.667 0.748
Cu1 0.000 0.000 0.500
Er1 0.000 0.000 0.000
Li1 0.333 0.667 0.354
Li2 0.667 0.333 0.646